# 1
Density functional theory data (PBE) for TbPr6Tm2Th after structural relaxation.

- electronic total energy (eV/atom) = -4.83
- magnetic moment (μB per formula unit) = 0.00
- N(E_F) (states/eV per cell) = 28.15
- density (g/cm3) = 7.572
- crystal system = monoclinic

Lattice parameters (Å, degrees): 8.906 8.906 9.783 94.29 94.29 116.00
Fractional coordinates of all 20 atoms:
Tb 0.092 0.908 0.750
Tb 0.908 0.092 0.250
Pr 0.012 0.799 0.382
Pr 0.074 0.507 0.188
Pr 0.201 0.988 0.118
Pr 0.261 0.607 0.558
Pr 0.393 0.739 0.942
Pr 0.493 0.926 0.312
Pr 0.507 0.074 0.688
Pr 0.607 0.261 0.058
Pr 0.739 0.393 0.442
Pr 0.799 0.012 0.882
Pr 0.926 0.493 0.812
Pr 0.988 0.201 0.618
Tm 0.212 0.301 0.948
Tm 0.301 0.212 0.448
Tm 0.699 0.788 0.552
Tm 0.788 0.699 0.052
Th 0.469 0.531 0.250
Th 0.531 0.469 0.750


# 2
Density functional theory data (PBE) for Tb6PrTm2Th3 after structural relaxation.

- electronic total energy (eV/atom) = -5.29
- magnetic moment (μB per formula unit) = 0.00
- N(E_F) (states/eV per cell) = 17.92
- density (g/cm3) = 9.191
- crystal system = monoclinic

Lattice parameters (Å, degrees): 6.185 6.185 11.789 95.03 95.03 120.00
Fractional coordinates of all 12 atoms:
Tb 0.081 0.415 0.246
Tb 0.250 0.250 0.754
Tb 0.415 0.081 0.246
Tb 0.585 0.919 0.754
Tb 0.750 0.750 0.246
Tb 0.919 0.585 0.754
Pr 0.500 0.500 0.500
Tm 0.167 0.833 0.500
Tm 0.833 0.167 0.500
Th 0.000 0.000 0.000
Th 0.334 0.666 0.000
Th 0.666 0.334 0.000


# 3
Density functional theory data (PBE) for Tb6PrTm3Th2 after structural relaxation.

- electronic total energy (eV/atom) = -5.03
- magnetic moment (μB per formula unit) = 0.00
- N(E_F) (states/eV per cell) = 17.53
- density (g/cm3) = 8.952
- crystal system = monoclinic

Lattice parameters (Å, degrees): 6.176 6.176 11.774 95.03 95.03 119.94
Fractional coordinates of all 12 atoms:
Tb 0.077 0.415 0.249
Tb 0.247 0.247 0.751
Tb 0.415 0.077 0.249
Tb 0.585 0.923 0.751
Tb 0.753 0.753 0.249
Tb 0.923 0.585 0.751
Pr 0.500 0.500 0.500
Tm 0.000 0.000 0.000
Tm 0.333 0.667 0.000
Tm 0.667 0.333 0.000
Th 0.167 0.833 0.500
Th 0.833 0.167 0.500


# 4
Density functional theory data (PBE) for TbPr2Tm4Th after structural relaxation.

- electronic total energy (eV/atom) = -4.90
- magnetic moment (μB per formula unit) = 0.00
- N(E_F) (states/eV per cell) = 11.07
- density (g/cm3) = 8.737
- crystal system = orthorhombic

Lattice parameters (Å, degrees): 5.085 5.097 9.890 90.00 90.00 90.00
Fractional coordinates of all 8 atoms:
Tb 0.000 0.000 0.000
Pr 0.000 0.000 0.500
Pr 0.500 0.500 0.000
Tm 0.000 0.500 0.253
Tm 0.000 0.500 0.747
Tm 0.500 0.000 0.253
Tm 0.500 0.000 0.747
Th 0.500 0.500 0.500